# 1
A plane-wave DFT calculation with PBE-GGA was carried out for crystalline NaPt2W at its relaxed geometry.

The structure belongs to space group Fm-3m (No. 225); the cell edges are 6.3838, 6.3838 and 6.3838 Å and the angles 90.00°, 90.00° and 90.00°. The distinct sites, in fractional coordinates, are Na at (0.0000, 0.0000, 0.0000), Pt at (0.2500, 0.2500, 0.2500) and W at (0.0000, 0.0000, 0.5000).

Its energy relative to the lowest polymorph listed for this composition is 0 meV per atom. As for the size of the total moment: 0.00 μB/f.u. The value obtained for the formation energy is 0.2016 eV per atom.


# 2
A plane-wave DFT calculation with PBE-GGA was carried out for crystalline La2AlZn4Ge3 at its relaxed geometry.

The structure belongs to space group P-4m2 (No. 115); the cell edges are 4.3603, 4.3603 and 10.5665 Å and the angles 90.00°, 90.00° and 90.00°. The distinct sites, in fractional coordinates, are La at (0.0000, 0.5000, 0.2489), Al at (0.5000, 0.5000, 0.0000), Zn at (0.0000, 0.0000, 0.5000), Zn at (0.0000, 0.5000, 0.8691), Zn at (0.5000, 0.5000, 0.5000), Ge at (0.0000, 0.0000, 0.0000) and Ge at (0.0000, 0.5000, 0.6350).

As for the size of the total moment: 0.00 μB/f.u. The value obtained for the formation energy is -0.4633 eV per atom.


# 3
A plane-wave DFT calculation with PBE-GGA was carried out for crystalline K3CeDy2O6 at its relaxed geometry.

The structure belongs to space group C2/m (No. 12); the cell edges are 6.1340, 10.6247 and 6.5957 Å and the angles 90.00°, 108.06° and 90.00°. The distinct sites, in fractional coordinates, are K at (0.0000, 0.0000, 0.0000), K at (0.0000, 0.3325, 0.0000), Ce at (0.0000, 0.5000, 0.5000), Dy at (0.0000, 0.1666, 0.5000), O at (0.2201, 0.0000, 0.6863) and O at (0.2331, 0.3290, 0.6863).

As for the size of the total moment: 1.00 μB/f.u. Its formation energy without anion corrections is -2700 meV per atom.


# 4
A plane-wave DFT calculation with PBE-GGA was carried out for crystalline LaPr4Ho2Sc at its relaxed geometry.

The structure belongs to space group Pmmm (No. 47); the cell edges are 5.1102, 5.1301 and 10.1725 Å and the angles 90.00°, 90.00° and 90.00°. The distinct sites, in fractional coordinates, are La at (0.0000, 0.0000, 0.0000), Pr at (0.0000, 0.5000, 0.2497), Pr at (0.5000, 0.0000, 0.2502), Ho at (0.0000, 0.0000, 0.5000), Ho at (0.5000, 0.5000, 0.5000) and Sc at (0.5000, 0.5000, 0.0000).

As for the size of the total moment: 0.00 μB/f.u. The value obtained for the formation energy is 0.0306 eV per atom.


# 5
A plane-wave DFT calculation with PBE-GGA was carried out for crystalline InCoRu2 at its relaxed geometry.

The structure belongs to space group F-43m (No. 216); the cell edges are 6.2198, 6.2198 and 6.2198 Å and the angles 90.00°, 90.00° and 90.00°. The distinct sites, in fractional coordinates, are In at (0.0000, 0.0000, 0.0000), Co at (0.2500, 0.2500, 0.7500), Ru at (0.0000, 0.0000, 0.5000) and Ru at (0.2500, 0.2500, 0.2500).

As for the size of the total moment: 3.46 μB/f.u. The value obtained for the formation energy is 0.3276 eV per atom.


# 6
A plane-wave DFT calculation with PBE-GGA was carried out for crystalline Cs2AsPtS4 at its relaxed geometry.

The structure belongs to space group Fddd (No. 70, origin choice 2); the cell edges are 6.8882, 16.9629 and 22.3521 Å and the angles 90.00°, 90.00° and 90.00°. The distinct sites, in fractional coordinates, are Cs at (0.1250, 0.1250, 0.2808), As at (0.1250, 0.1250, 0.6250), Pt at (0.1250, 0.1250, 0.1250) and S at (0.1211, 0.2815, 0.3818).

As for the size of the total moment: 1.04 μB/f.u. Its formation energy without anion corrections is -550 meV per atom.


# 7
A plane-wave DFT calculation with PBE-GGA was carried out for crystalline FePI2 at its relaxed geometry.

The structure belongs to space group Fm-3m (No. 225); the cell edges are 7.1232, 7.1232 and 7.1232 Å and the angles 90.00°, 90.00° and 90.00°. The distinct sites, in fractional coordinates, are Fe at (0.0000, 0.0000, 0.0000), P at (0.0000, 0.0000, 0.5000) and I at (0.2500, 0.2500, 0.2500).

Its energy relative to the lowest polymorph listed for this composition is 72 meV per atom. As for the size of the total moment: 3.04 μB/f.u. Its formation energy without anion corrections is 1004 meV per atom.


# 8
A plane-wave DFT calculation with PBE-GGA was carried out for crystalline NdErPbSe at its relaxed geometry.

The structure belongs to space group P4/mmm (No. 123); the cell edges are 4.3728, 4.3728 and 6.0791 Å and the angles 90.00°, 90.00° and 90.00°. The distinct sites, in fractional coordinates, are Nd at (0.0000, 0.0000, 0.0000), Er at (0.5000, 0.5000, 0.5000), Pb at (0.5000, 0.5000, 0.0000) and Se at (0.0000, 0.0000, 0.5000).

As for the size of the total moment: 0.00 μB/f.u. Its formation energy without anion corrections is -1092 meV per atom.


# 9
A plane-wave DFT calculation with PBE-GGA was carried out for crystalline NaMnPS2 at its relaxed geometry.

The structure belongs to space group P4/mmm (No. 123); the cell edges are 4.8660, 4.8660 and 4.7471 Å and the angles 90.00°, 90.00° and 90.00°. The distinct sites, in fractional coordinates, are Na at (0.0000, 0.0000, 0.0000), Mn at (0.5000, 0.5000, 0.5000), P at (0.0000, 0.0000, 0.5000) and S at (0.0000, 0.5000, 0.0000).

Its energy relative to the lowest polymorph listed for this composition is 1233 meV per atom. As for the size of the total moment: 4.42 μB/f.u. Its formation energy without anion corrections is 1110 meV per atom.


# 10
A plane-wave DFT calculation with PBE-GGA was carried out for crystalline PuAgCl5 at its relaxed geometry.

The structure belongs to space group C2/c (No. 15); the cell edges are 10.4578, 10.0687 and 10.3544 Å and the angles 90.00°, 119.62° and 90.00°. The distinct sites, in fractional coordinates, are Pu at (0.2500, 0.2500, 0.0000), Ag at (0.0000, 0.1357, 0.2500), Cl at (0.0000, 0.3126, 0.7500), Cl at (0.1235, 0.3014, 0.1542) and Cl at (0.1733, 0.0038, 0.9778).

As for the size of the total moment: 4.00 μB/f.u. Its formation energy without anion corrections is -1306 meV per atom.


# 11
A plane-wave DFT calculation with PBE-GGA was carried out for crystalline RbSnTe2 at its relaxed geometry.

The structure belongs to space group I-42d (No. 122); the cell edges are 8.3060, 8.3060 and 11.8043 Å and the angles 90.00°, 90.00° and 90.00°. The distinct sites, in fractional coordinates, are Rb at (0.0000, 0.0000, 0.0000), Sn at (0.0000, 0.0000, 0.5000) and Te at (0.1707, 0.2500, 0.6250).

As for the size of the total moment: 0.00 μB/f.u. Its formation energy without anion corrections is -486 meV per atom.


# 12
A plane-wave DFT calculation with PBE-GGA was carried out for crystalline Cu3W at its relaxed geometry.

The structure belongs to space group P2/m (No. 10); the cell edges are 2.5351, 4.1410 and 5.1037 Å and the angles 90.00°, 99.05° and 90.00°. The distinct sites, in fractional coordinates, are Cu at (0.0000, 0.0000, 0.0000), Cu at (0.1419, 0.5000, 0.7520) and W at (0.5000, 0.0000, 0.5000).

As for the size of the total moment: 0.00 μB/f.u. The value obtained for the formation energy is 0.3050 eV per atom.


| no. | V (Å³/atom) | Fermi-level density of states (states/eV per cell) |
| --- | --- | --- |
| 1 | 16.260 | 14.7 |
| 2 | 20.089 | 3.0 |
| 3 | 17.028 | 4.6 |
| 4 | 33.335 | 11.1 |
| 5 | 15.038 | 15.3 |
| 6 | 40.808 | 38.2 |
| 7 | 22.589 | 18.7 |
| 8 | 29.060 | 0.6 |
| 9 | 22.481 | 4.9 |
| 10 | 33.850 | 39.3 |
| 11 | 50.899 | 3.1 |
| 12 | 13.228 | 2.2 |